No. 1
Material: AcEuErIn
Method: DFT, PBE-GGA
State: optimized geometry

## Properties
E: -21.8 eV for the cell shown
Energy of formation: -26 meV/atom

```
AcEuErIn
1.0
0.000 4.034 4.034
4.034 0.000 4.034
4.034 4.034 0.000
Ac Eu Er In
1 1 1 1
direct
0.000 0.000 0.000 Ac
0.250 0.250 0.250 Eu
0.750 0.750 0.750 Er
0.500 0.500 0.500 In
```


No. 2
Material: Ca7Ni4Sn13
Method: DFT, PBE-GGA
State: optimized geometry

## Properties
E: -101.1 eV for the cell shown
Energy of formation: -497 meV/atom

```
Ca7Ni4Sn13
1.0
11.301 0.000 0.000
0.000 11.301 0.000
0.000 0.000 4.632
Ca Ni Sn
7 4 13
direct
0.000 0.000 0.000 Ca
0.000 0.500 0.500 Ca
0.328 0.339 0.500 Ca
0.339 0.672 0.500 Ca
0.500 0.000 0.500 Ca
0.661 0.328 0.500 Ca
0.672 0.661 0.500 Ca
0.120 0.726 0.000 Ni
0.274 0.120 0.000 Ni
0.726 0.880 0.000 Ni
0.880 0.274 0.000 Ni
0.077 0.810 0.500 Sn
0.110 0.284 0.000 Sn
0.190 0.077 0.500 Sn
0.215 0.520 0.000 Sn
0.284 0.890 0.000 Sn
0.480 0.215 0.000 Sn
0.500 0.500 0.000 Sn
0.520 0.785 0.000 Sn
0.716 0.110 0.000 Sn
0.785 0.480 0.000 Sn
0.810 0.923 0.500 Sn
0.890 0.716 0.000 Sn
0.923 0.190 0.500 Sn
```


No. 3
Material: MnTeS2
Method: DFT, PBE-GGA
State: optimized geometry

## Properties
Energy relative to the elements, uncorrected: -0.24 eV/atom
E: -43.1 eV for the cell shown

```
MnTeS2
1.0
5.420 0.000 0.000
0.080 5.771 0.000
0.321 2.598 5.346
Mn Te S
2 2 4
direct
0.003 0.252 0.387 Mn
0.997 0.748 0.613 Mn
0.205 0.694 0.028 Te
0.795 0.306 0.972 Te
0.165 0.338 0.697 S
0.291 0.999 0.371 S
0.709 0.001 0.629 S
0.835 0.662 0.303 S
```


No. 4
Material: Tm2CdPt
Method: DFT, PBE-GGA
State: optimized geometry

## Properties
E: -19.2 eV for the cell shown
Energy of formation: -820 meV/atom

```
Tm2CdPt
1.0
3.546 0.000 0.000
0.000 3.546 0.000
0.000 0.000 7.247
Tm Cd Pt
2 1 1
direct
0.000 0.000 0.223 Tm
0.000 0.000 0.777 Tm
0.500 0.500 0.500 Cd
0.500 0.500 0.000 Pt
```


No. 5
Material: BaSn3N
Method: DFT, PBE-GGA
State: optimized geometry

## Properties
Energy relative to the elements, uncorrected: 0.21 eV/atom
E: -21.2 eV for the cell shown

```
BaSn3N
1.0
5.062 0.000 0.000
0.000 5.062 0.000
0.000 0.000 5.062
Ba Sn N
1 3 1
direct
0.000 0.000 0.000 Ba
0.000 0.500 0.500 Sn
0.500 0.000 0.500 Sn
0.500 0.500 0.000 Sn
0.500 0.500 0.500 N
```


No. 6
Material: MgRe2P
Method: DFT, PBE-GGA
State: optimized geometry

## Properties
E: -60.0 eV for the cell shown
Energy of formation: 478 meV/atom

```
MgRe2P
1.0
-1.928 1.928 9.055
1.928 -1.928 9.055
1.928 1.928 -9.055
Mg Re P
2 4 2
direct
0.000 0.000 0.000 Mg
0.750 0.250 0.500 Mg
0.186 0.625 0.061 Re
0.375 0.436 0.561 Re
0.564 0.125 0.939 Re
0.875 0.814 0.439 Re
0.250 0.750 0.500 P
0.500 0.500 0.000 P
```